1.
RbCd3Te3 (PBE-GGA, optimized geometry); E_form (uncorrected) = -0.464 eV per atom; DOS at the Fermi energy = 2.5 states/eV/f.u.; SG = R-3
1.0
4.314 2.490 8.650
-4.314 2.490 8.650
0.000 -4.981 8.650
Rb Cd Te
2 6 6
direct
0.166 0.166 0.166 Rb
0.834 0.834 0.834 Rb
0.049 0.376 0.710 Cd
0.290 0.951 0.624 Cd
0.376 0.710 0.049 Cd
0.624 0.290 0.951 Cd
0.710 0.049 0.376 Cd
0.951 0.624 0.290 Cd
0.068 0.739 0.407 Te
0.261 0.593 0.932 Te
0.407 0.068 0.739 Te
0.593 0.932 0.261 Te
0.739 0.407 0.068 Te
0.932 0.261 0.593 Te

=====

2.
K2GePPt6 (PBE-GGA, optimized geometry); DFT formation energy = -3.850 eV per formula unit; DOS at the Fermi energy = 4.6 states/eV/f.u.; SG = P-1
1.0
6.581 0.000 0.000
3.276 5.716 0.000
3.276 1.899 5.578
K Ge P Pt
2 1 1 6
direct
0.202 0.202 0.394 K
0.798 0.798 0.606 K
0.500 0.500 0.500 Ge
0.000 0.000 0.000 P
0.242 0.653 0.861 Pt
0.244 0.243 0.860 Pt
0.347 0.755 0.139 Pt
0.653 0.245 0.861 Pt
0.756 0.757 0.140 Pt
0.758 0.347 0.139 Pt

=====

Look up the DOS at the Fermi energy of the second one. 4.6 states/eV/f.u.